K2ScIr: relaxed, PBE.

```
K2ScIr
1.0
12.4624 0.0061 0.0036
12.0753 3.0822 0.0036
12.0753 1.5198 2.6815
K Ir Sc
2 1 1
Direct
0.0126 0.0126 0.0126 K
0.4874 0.4874 0.4874 K
0.7500 0.7500 0.7500 Ir
0.2500 0.2500 0.2500 Sc
```

## Properties
The value obtained for the formation energy is 890.6 meV/atom. Its energy above the lowest structure with this stoichiometry is 876 meV per atom.